A geometry-optimized CaCe5 structure. Source: Alexandria, functional PBE-GGA.

Cell and atoms, written as POSCAR:
```
CaCe5
1.0
-0.778 -2.734 -1.592
1.335 -3.245 4.923
-8.834 2.370 0.245
Ca Ce
1 5
Direct
0.000 0.000 0.000
0.000 0.652 0.304
0.000 0.348 0.696
0.500 0.500 0.000
0.500 0.192 0.384
0.500 0.808 0.616
```

Output
- ΔH_f (0 K) (eV per atom) = 0.24
- E_tot (eV/atom) = -5.04
- crystal system = orthorhombic